HfRe (PBE, relaxed); total magnetic moment = 0.0 μB/cell; symmetry = P4/m; VASP energy = -10.867 eV per atom
1.0
7.9395 0.0000 0.0000
0.0000 7.9395 0.0000
0.0000 0.0000 4.9463
Hf Re
8 8
Cartesian
0.6403 2.2773 0.0000
0.6789 5.5567 2.4732
2.2773 7.2992 0.0000
2.3828 0.6789 2.4732
5.5567 7.2606 2.4732
5.6622 0.6403 0.0000
7.2606 2.3828 2.4732
7.2992 5.6622 0.0000
2.0497 3.3174 2.4732
2.2525 4.4916 0.0000
3.3174 5.8898 2.4732
3.4479 2.2525 0.0000
4.4916 5.6870 0.0000
4.6221 2.0497 2.4732
5.6870 3.4479 0.0000
5.8898 4.6221 2.4732